This record from the Alexandria database describes a geometry-optimized La2Zr2Ni15 structure. The functional is PBE.

Results
**M_tot**: 0.01 μB/f.u.
**Space-group type**: No. 166
**Energy of formation from the pure elements**: -256.8 meV/atom

Cell lengths 6.500, 6.500, 6.500 Å; angles 82.23, 82.23, 82.23 degrees
Element x y z (fractional)
1 Ni 0.655 0.655 0.157
2 Ni 0.000 0.000 0.500
3 Ni 0.000 0.297 0.703
4 Ni 0.345 0.843 0.345
5 Ni 0.843 0.345 0.345
6 Ni 0.703 0.297 0.000
7 Ni 0.000 0.703 0.297
8 Ni 0.297 0.703 0.000
9 Ni 0.500 0.000 0.000
10 Ni 0.000 0.500 0.000
11 Ni 0.157 0.655 0.655
12 Ni 0.703 0.000 0.297
13 Ni 0.297 0.000 0.703
14 Ni 0.655 0.157 0.655
15 Ni 0.345 0.345 0.843
16 La 0.355 0.355 0.355
17 La 0.645 0.645 0.645
18 Zr 0.892 0.892 0.892
19 Zr 0.108 0.108 0.108

This record from the Alexandria database describes a geometry-optimized DyTm2Pt structure. The functional is PBE.

Results
**M_tot**: 0.00 μB/f.u.
**E above lowest polymorph**: 230 meV/atom
**Space-group type**: No. 166
**Energy of formation from the pure elements**: -509.7 meV/atom

Cell lengths 3.766, 3.766, 9.617 Å; angles 78.71, 78.71, 60.00 degrees
Element x y z (fractional)
1 Tm 0.272 0.272 0.185
2 Tm 0.728 0.728 0.815
3 Dy 0.500 0.500 0.500
4 Pt 0.000 0.000 0.000

This record from the Alexandria database describes a geometry-optimized Li3FeH4 structure. The functional is PBE.

Results
**M_tot**: 1.32 μB/f.u.
**Space-group type**: No. 65
**Total energy**: -3.69 eV per atom

Cell lengths 2.689, 4.746, 4.746 Å; angles 109.67, 90.00, 90.00 degrees
Element x y z (fractional)
1 H 0.000 0.785 0.785
2 H 0.000 0.215 0.215
3 H 0.500 0.781 0.219
4 H 0.500 0.219 0.781
5 Li 0.000 0.500 0.000
6 Li 0.500 0.500 0.500
7 Li 0.000 0.000 0.500
8 Fe 0.500 0.000 0.000

M_tot of number 2 (DyTm2Pt)? 0.00 μB/f.u.